## ZnNi3N (PBE)

Data for a geometry-optimized ZnNi3N structure.

**Uncorrected energy**: -5.3282 eV/atom
**Crystal system**: monoclinic
**Size of the total moment**: 0.0 μB per formula unit
**Formation energy without anion corrections**: 0.06 eV/atom

a b c (Å): 3.8480 5.2404 5.6433
angles (deg): 90.00 89.87 90.00
Last column: nearest neighbours and their distance in Å.
Fractional coordinates of all 10 atoms:
Ni 0.7495 0.9965 0.1242  1 N 1.82
Ni 0.2505 0.0035 0.8758  1 N 1.82
Ni 0.7495 0.5035 0.1242  1 N 1.82
Ni 0.2505 0.4965 0.8758  1 N 1.82
Ni 0.2488 0.2500 0.2771  2 N 1.96
Ni 0.7512 0.7500 0.7229  2 N 1.96
Zn 0.7510 0.2500 0.7035  1 N 2.03
Zn 0.2490 0.7500 0.2965  1 N 2.03
N 0.7486 0.2500 0.3444  4 Ni 1.82-1.96, 1 Zn 2.03
N 0.2514 0.7500 0.6556  4 Ni 1.82-1.96, 1 Zn 2.03